Density functional theory data (GGA+U) for CaSmCo4O12 after structural relaxation.

Cell lengths 5.2597, 5.2597, 7.5273 Å; angles 90.00, 90.00, 90.00 degrees
Fractional coordinates of all 18 atoms:
Ca  0.0000  0.0000  0.0000
Sm  0.5000  0.5000  0.5000
Co  0.0000  0.5000  0.2449
Co  0.0000  0.5000  0.7551
Co  0.5000  0.0000  0.2449
Co  0.5000  0.0000  0.7551
O  0.0000  0.5000  0.0000
O  0.0000  0.5000  0.5000
O  0.2545  0.2545  0.2569
O  0.2545  0.2545  0.7431
O  0.2545  0.7455  0.2569
O  0.2545  0.7455  0.7431
O  0.5000  0.0000  0.0000
O  0.5000  0.0000  0.5000
O  0.7455  0.2545  0.2569
O  0.7455  0.2545  0.7431
O  0.7455  0.7455  0.2569
O  0.7455  0.7455  0.7431

DFT total energy	-5.83	eV/atom
density of states at the Fermi level	0.464	states/eV per atom
size of the total moment	14.85	μB/cell
space group	No. 123
calculated density	4.929	g cm⁻³